Entry 1:
Crystalline Tb3MgGa at its relaxed geometry. Source: Alexandria via LeMat-Bulk, functional GGA-PBE.

Lattice parameters (Å, degrees): 5.135 5.128 10.423 90.00 75.74 90.00
Sites, in units of the cell vectors:
Mg  0.667  0.750  0.314
Tb  0.073  0.750  0.502
Tb  0.390  0.250  0.869
Tb  0.886  0.750  0.875
Tb  0.259  0.750  0.131
Tb  0.575  0.250  0.498
Ga  0.485  0.750  0.679
Mg  0.981  0.250  0.686
Tb  0.762  0.250  0.125
Ga  0.164  0.250  0.321

Calculated values
Uncorrected energy, eV per atom: -3.96
Density, g/cm3: 7.13
ΔH_f (0 K), eV per atom: -0.253

=====

Entry 2:
Crystalline TbMg2Ga at its relaxed geometry. Source: Alexandria via LeMat-Bulk, functional GGA-PBE.

Lattice parameters (Å, degrees): 4.794 4.349 4.349 90.00 90.00 90.00
Sites, in units of the cell vectors:
Mg  0.000  0.500  0.000
Tb  0.500  0.000  0.000
Mg  0.000  0.000  0.500
Ga  0.500  0.500  0.500

Calculated values
Energy relative to the lowest polymorph listed for this composition, meV per atom: 0.0
Uncorrected energy, eV per atom: -3.01
Density, g/cm3: 5.08
ΔH_f (0 K), eV per atom: -0.303

=====

Entry 3:
Crystalline Tb3Mg2Ga3 at its relaxed geometry. Source: Alexandria via LeMat-Bulk, functional GGA-PBE.

Lattice parameters (Å, degrees): 5.960 8.631 8.631 120.00 90.00 90.00
Sites, in units of the cell vectors:
Ga  0.750  0.625  0.000
Ga  0.750  0.375  0.375
Tb  0.250  0.720  0.000
Tb  0.250  0.280  0.280
Ga  0.250  0.375  0.000
Ga  0.750  0.000  0.625
Mg  0.000  0.667  0.333
Mg  0.000  0.333  0.667
Mg  0.500  0.667  0.333
Ga  0.250  0.625  0.625
Tb  0.750  0.000  0.280
Tb  0.750  0.720  0.720
Ga  0.250  0.000  0.375
Tb  0.250  0.000  0.720
Mg  0.500  0.333  0.667
Tb  0.750  0.280  0.000

Calculated values
Uncorrected energy, eV per atom: -3.67
Density, g/cm3: 6.34
ΔH_f (0 K), eV per atom: -0.405

=====

Entry 4:
Crystalline Tb8Mg2Ga at its relaxed geometry. Source: Alexandria via LeMat-Bulk, functional GGA-PBE.

Lattice parameters (Å, degrees): 5.330 6.996 9.396 105.85 106.48 90.00
Sites, in units of the cell vectors:
Ga  0.500  0.000  0.000
Mg  0.186  0.712  0.372
Tb  0.981  0.230  0.962
Tb  0.594  0.446  0.187
Tb  0.019  0.770  0.038
Tb  0.196  0.280  0.393
Tb  0.658  0.957  0.317
Tb  0.804  0.720  0.607
Tb  0.342  0.043  0.683
Tb  0.406  0.554  0.813
Mg  0.814  0.288  0.628

Calculated values
Uncorrected energy, eV per atom: -3.98
Density, g/cm3: 7.17
ΔH_f (0 K), eV per atom: -0.051

=====

Entry 5:
Crystalline Tb5MgGa3 at its relaxed geometry. Source: Alexandria via LeMat-Bulk, functional GGA-PBE.

Lattice parameters (Å, degrees): 6.465 8.951 8.951 120.00 90.00 90.00
Sites, in units of the cell vectors:
Tb  0.750  0.000  0.310
Ga  0.250  0.354  0.000
Ga  0.750  0.354  0.354
Tb  0.250  0.690  0.000
Tb  0.250  0.000  0.690
Ga  0.250  0.646  0.646
Mg  0.500  0.000  0.000
Tb  0.000  0.333  0.667
Tb  0.750  0.310  0.000
Ga  0.250  0.000  0.354
Tb  0.500  0.333  0.667
Mg  0.000  0.000  0.000
Ga  0.750  0.646  0.000
Ga  0.750  0.000  0.646
Tb  0.750  0.690  0.690
Tb  0.500  0.667  0.333
Tb  0.000  0.667  0.333
Tb  0.250  0.310  0.310

Calculated values
Uncorrected energy, eV per atom: -4.18
Density, g/cm3: 7.61
ΔH_f (0 K), eV per atom: -0.424

=====

Entry 6:
Crystalline TbMg4Ga4 at its relaxed geometry. Source: Alexandria via LeMat-Bulk, functional GGA-PBE.

Lattice parameters (Å, degrees): 6.593 6.593 8.951 90.00 90.00 90.00
Sites, in units of the cell vectors:
Tb  0.500  0.500  0.500
Ga  0.297  0.000  0.295
Ga  0.000  0.297  0.705
Ga  0.703  0.000  0.295
Ga  0.500  0.203  0.795
Mg  0.740  0.000  0.600
Mg  0.260  0.000  0.600
Mg  0.240  0.500  0.900
Ga  0.500  0.797  0.795
Tb  0.000  0.000  0.000
Ga  0.797  0.500  0.205
Mg  0.500  0.240  0.100
Mg  0.500  0.760  0.100
Ga  0.203  0.500  0.205
Ga  0.000  0.703  0.705
Mg  0.000  0.740  0.400
Mg  0.760  0.500  0.900
Mg  0.000  0.260  0.400

Calculated values
Uncorrected energy, eV per atom: -2.71
Density, g/cm3: 4.57
ΔH_f (0 K), eV per atom: -0.142